No. 1
{"formula": "AcLuMg4", "functional": "PBE", "state": "relaxed", "lattice_angstrom": [[0.000, 4.361, 4.361], [4.361, 0.000, 4.361], [4.361, 4.361, 0.000]], "species": ["Ac", "Lu", "Mg", "Mg", "Mg", "Mg"], "fractional_positions": [[0.000, 0.000, 0.000], [0.750, 0.750, 0.750], [0.376, 0.376, 0.376], [0.376, 0.376, 0.873], [0.376, 0.873, 0.376], [0.873, 0.376, 0.376]], "spacegroup": "F-43m, No. 216", "dos_at_fermi_per_ev_cell": 5.2, "delta_e_f_kj_per_mol_atoms": -6}

***

No. 2
{"formula": "AcLu2Mg", "functional": "PBE", "state": "relaxed", "lattice_angstrom": [[3.744, 0.000, 0.000], [0.000, 3.744, 0.000], [0.000, 0.000, 8.972]], "species": ["Ac", "Lu", "Lu", "Mg"], "fractional_positions": [[0.000, 0.000, 0.000], [0.500, 0.500, 0.293], [0.500, 0.500, 0.707], [0.000, 0.000, 0.500]], "spacegroup": "P4/mmm, No. 123", "polymorph_energy_mev_per_atom": 0, "dos_at_fermi_per_ev_cell": 4.8, "delta_e_f_kj_per_mol_atoms": 3}